# LiReOs, optimized geometry, DFT PBE-GGA
# - energy of formation (meV per atom) = 359
# - final energy (eV/atom) = -8.172
# - calculated volume (Å³ per atom) = 14.77
# - energy above the lowest structure with this stoichiometry (meV/atom) = 190
# - Fermi-level density of states (states/eV/atom) = 1.03
# - total magnetization (μB per formula unit) = 0.0
data_LiReOs
_chemical_formula_sum 'Li4 Re4 Os4'
_cell_length_a 2.855
_cell_length_b 4.500
_cell_length_c 13.794
_cell_angle_alpha 90.00
_cell_angle_beta 90.00
_cell_angle_gamma 90.00
_space_group_name_H-M_alt 'F m m 2'
_space_group_IT_number 42
_space_group_name_Hall 'F 2 -2'
loop_
_atom_site_label
_atom_site_type_symbol
_atom_site_fract_x
_atom_site_fract_y
_atom_site_fract_z
Li1 Li 0.000 0.000 0.000
Re1 Re 0.000 0.000 0.326
Os1 Os 0.000 0.000 0.668